This record from Alexandria via LeMat-Bulk describes a relaxed structure of RbBa2AsW. The functional is PBE.

Cell lengths 6.341, 6.341, 6.495 Å; angles 90.00, 90.00, 90.00 degrees
Space group P4/mmm (No. 123)
One atom of each set of equivalent atoms:
Rb: 0.000 0.000 0.000 [1 per cell]
Ba: 0.000 0.500 0.500 [2 per cell]
As: 0.000 0.000 0.500 [1 per cell]
W: 0.500 0.500 0.000 [1 per cell]

Calculated values
Its size of the total moment is 5.8 μB/f.u. The formation energy from the elements is 0.843 eV/atom. The theoretical density comes out at 3.94 g/cm³.


This record from Alexandria via LeMat-Bulk describes a relaxed structure of PmEr5Au6. The functional is PBE.

Cell lengths 5.092, 7.111, 15.345 Å; angles 90.00, 90.00, 90.00 degrees
Space group Immm (No. 71)
One atom of each set of equivalent atoms:
Pm: 0.000 0.000 0.000 [2 per cell]
Er: 0.000 0.000 0.332 [4 per cell]
Er: 0.000 0.500 0.000 [2 per cell]
Er: 0.000 0.500 0.335 [4 per cell]
Au: 0.000 0.236 0.500 [4 per cell]
Au: 0.000 0.257 0.171 [8 per cell]

Calculated values
Its size of the total moment is 0.0 μB/f.u. The formation energy from the elements is -0.863 eV/atom. The theoretical density comes out at 12.93 g/cm³.


This record from Alexandria via LeMat-Bulk describes a relaxed structure of LaSmBr4. The functional is PBE.

Cell lengths 7.006, 4.035, 7.973 Å; angles 90.00, 106.53, 90.00 degrees
Space group P2/m (No. 10)
One atom of each set of equivalent atoms:
La: 0.000 0.000 0.000 [1 per cell]
Sm: 0.500 0.500 0.000 [1 per cell]
Br: 0.258 0.500 0.250 [2 per cell]
Br: 0.264 0.000 0.758 [2 per cell]

Calculated values
Its size of the total moment is 0.0 μB/f.u. The theoretical density comes out at 4.68 g/cm³. For the energy relative to the elements, uncorrected, the calculation gives -1.6903 eV/atom.


This record from Alexandria via LeMat-Bulk describes a relaxed structure of Nd3YTm. The functional is PBE.

Cell lengths 19.965, 12.208, 5.809 Å; angles 90.00, 106.91, 90.00 degrees
Space group C2/c (No. 15)
One atom of each set of equivalent atoms:
Nd: 0.094 0.159 0.344 [8 per cell]
Nd: 0.095 0.343 0.846 [8 per cell]
Nd: 0.195 0.107 0.943 [8 per cell]
Y: 0.195 0.394 0.447 [8 per cell]
Tm: 0.000 0.088 0.750 [4 per cell]
Tm: 0.000 0.412 0.250 [4 per cell]

Calculated values
Its size of the total moment is 0.0 μB/f.u. The formation energy from the elements is 0.067 eV/atom. The theoretical density comes out at 6.77 g/cm³.


This record from Alexandria via LeMat-Bulk describes a relaxed structure of LiInSnSe3. The functional is PBE.

Cell lengths 8.010, 4.150, 10.504 Å; angles 90.00, 101.60, 90.00 degrees
Space group P2_1/m (No. 11)
One atom of each set of equivalent atoms:
Li: 0.124 0.250 0.462 [2 per cell]
In: 0.281 0.750 0.218 [2 per cell]
Sn: 0.312 0.750 0.801 [2 per cell]
Se: 0.024 0.750 0.328 [2 per cell]
Se: 0.317 0.250 0.068 [2 per cell]
Se: 0.403 0.250 0.642 [2 per cell]

Calculated values
Its size of the total moment is 0.0 μB/f.u. The theoretical density comes out at 4.63 g/cm³. For the energy relative to the elements, uncorrected, the calculation gives -0.6388 eV/atom.


This record from Alexandria via LeMat-Bulk describes a relaxed structure of ScAlCdCu. The functional is PBE.

Cell lengths 6.540, 6.540, 6.540 Å; angles 90.00, 90.00, 90.00 degrees
Space group F-43m (No. 216)
One atom of each set of equivalent atoms:
Sc: 0.000 0.000 0.000 [4 per cell]
Al: 0.000 0.000 0.500 [4 per cell]
Cd: 0.250 0.250 0.250 [4 per cell]
Cu: 0.250 0.250 0.750 [4 per cell]

Calculated values
Its size of the total moment is 0.0 μB/f.u. The formation energy from the elements is -0.222 eV/atom. The theoretical density comes out at 5.89 g/cm³.


This record from Alexandria via LeMat-Bulk describes a relaxed structure of PmClF3. The functional is PBE.

Cell lengths 7.376, 7.220, 8.949 Å; angles 90.00, 110.08, 90.00 degrees
Space group P2_1/c (No. 14)
One atom of each set of equivalent atoms:
Pm: 0.069 0.250 0.016 [4 per cell]
Cl: 0.466 0.619 0.440 [4 per cell]
F: 0.121 0.223 0.781 [4 per cell]
F: 0.169 0.545 0.603 [4 per cell]
F: 0.183 0.549 0.028 [4 per cell]

Calculated values
Its size of the total moment is 0.0 μB/f.u. The theoretical density comes out at 3.52 g/cm³. For the energy relative to the elements, uncorrected, the calculation gives -3.1325 eV/atom.


This record from Alexandria via LeMat-Bulk describes a relaxed structure of MnMo2Os. The functional is PBE.

Cell lengths 3.860, 3.860, 7.823 Å; angles 90.00, 90.00, 90.00 degrees
Space group I-4m2 (No. 119)
One atom of each set of equivalent atoms:
Mn: 0.000 0.000 0.000 [2 per cell]
Mo: 0.000 0.000 0.500 [2 per cell]
Mo: 0.000 0.500 0.750 [2 per cell]
Os: 0.000 0.500 0.250 [2 per cell]

Calculated values
Its size of the total moment is 1.6 μB/f.u. The formation energy from the elements is 0.175 eV/atom. The theoretical density comes out at 12.45 g/cm³.


This record from Alexandria via LeMat-Bulk describes a relaxed structure of RbLi2Ga10. The functional is PBE.

Cell lengths 5.418, 13.739, 13.883 Å; angles 90.00, 90.00, 90.00 degrees
Space group Fmmm (No. 69)
One atom of each set of equivalent atoms:
Rb: 0.000 0.000 0.000 [4 per cell]
Li: 0.250 0.000 0.250 [8 per cell]
Ga: 0.000 0.117 0.379 [16 per cell]
Ga: 0.000 0.178 0.181 [16 per cell]
Ga: 0.250 0.250 0.000 [8 per cell]

Calculated values
Its size of the total moment is 0.0 μB/f.u. The formation energy from the elements is -0.104 eV/atom. The theoretical density comes out at 5.12 g/cm³.


This record from Alexandria via LeMat-Bulk describes a relaxed structure of CsFeBiMo2. The functional is PBE.

Cell lengths 5.279, 5.279, 4.933 Å; angles 90.00, 90.00, 90.00 degrees
Space group P4/mmm (No. 123)
One atom of each set of equivalent atoms:
Cs: 0.000 0.000 0.000 [1 per cell]
Fe: 0.500 0.500 0.000 [1 per cell]
Bi: 0.500 0.500 0.500 [1 per cell]
Mo: 0.000 0.500 0.500 [2 per cell]

Calculated values
Its size of the total moment is 8.1 μB/f.u. The formation energy from the elements is 2.110 eV/atom. The theoretical density comes out at 7.12 g/cm³.


This record from Alexandria via LeMat-Bulk describes a relaxed structure of AlAg2P2. The functional is PBE.

Cell lengths 3.247, 3.247, 16.771 Å; angles 90.00, 90.00, 90.00 degrees
Space group I4/mmm (No. 139)
One atom of each set of equivalent atoms:
Al: 0.000 0.000 0.000 [2 per cell]
Ag: 0.000 0.000 0.405 [4 per cell]
P: 0.000 0.500 0.250 [4 per cell]

Calculated values
Its size of the total moment is 0.0 μB/f.u. The formation energy from the elements is 0.247 eV/atom. The theoretical density comes out at 5.72 g/cm³.


This record from Alexandria via LeMat-Bulk describes a relaxed structure of Ce2Pu2Pd15. The functional is PBE.

Cell lengths 9.2693, 9.2693, 14.0572 Å; angles 90.00, 90.00, 120.00 degrees
Space group R-3m (No. 166, hexagonal axes)
One atom of each set of equivalent atoms:
Ce: 0.0000 0.0000 0.1440 [6 per cell]
Pu: 0.0000 0.0000 0.3998 [6 per cell]
Pd: 0.0000 0.3169 0.5000 [18 per cell]
Pd: 0.0000 0.5000 0.0000 [9 per cell]
Pd: 0.0074 0.5037 0.6570 [18 per cell]

Calculated values
Its size of the total moment is 11.7 μB/f.u. The formation energy from the elements is -0.459 eV/atom. The theoretical density comes out at 11.26 g/cm³.